No. 1
A plane-wave DFT calculation with PBE was carried out for AuBr3 after structural relaxation.

a = 8.791 Å, b = 8.791 Å, c = 8.791 Å
α = 153.93°, β = 153.93°, γ = 37.20°
Fractional coordinates of all 4 atoms:
Au: 0.000 0.000 0.000
Br: 0.250 0.750 0.500
Br: 0.500 0.500 0.000
Br: 0.750 0.250 0.500

Results
N(E_F) (states/eV/atom): 0.3750
Total moment (μB/cell): 0.000
Calculated volume (Å³ per atom): 32.8
Uncorrected formation energy (eV per atom): 0.225
Space group: I4/mmm



No. 2
A plane-wave DFT calculation with PBE was carried out for AuBr2 after structural relaxation.

a = 4.761 Å, b = 4.761 Å, c = 10.614 Å
α = 90.00°, β = 90.00°, γ = 90.00°
Fractional coordinates of all 6 atoms:
Au: 0.000 0.000 0.250
Au: 0.000 0.000 0.750
Br: 0.000 0.500 0.155
Br: 0.000 0.500 0.845
Br: 0.500 0.000 0.345
Br: 0.500 0.000 0.655

Results
N(E_F) (states/eV/atom): 0.4881
Total moment (μB/cell): 0.000
Calculated volume (Å³ per atom): 40.1
Uncorrected formation energy (eV per atom): 0.038
Space group: P4_2/mmc



No. 3
A plane-wave DFT calculation with PBE was carried out for AuBr3 after structural relaxation.

a = 5.202 Å, b = 5.202 Å, c = 5.202 Å
α = 109.43°, β = 109.43°, γ = 109.43°
Fractional coordinates of all 4 atoms:
Au: 0.000 0.000 0.000
Br: 0.000 0.500 0.500
Br: 0.500 0.000 0.500
Br: 0.500 0.500 0.000

Results
N(E_F) (states/eV/atom): 0.7377
Total moment (μB/cell): 0.992
Calculated volume (Å³ per atom): 27.1
Uncorrected formation energy (eV per atom): 0.414
Space group: R-3m



No. 4
A plane-wave DFT calculation with PBE was carried out for AuBr2 after structural relaxation.

a = 4.852 Å, b = 4.852 Å, c = 4.852 Å
α = 60.00°, β = 60.00°, γ = 60.00°
Fractional coordinates of all 3 atoms:
Au: 0.000 0.000 0.000
Br: 0.250 0.250 0.250
Br: 0.750 0.750 0.750

Results
N(E_F) (states/eV/atom): 1.9420
Total moment (μB/cell): 0.001
Calculated volume (Å³ per atom): 26.9
Uncorrected formation energy (eV per atom): 0.320
Space group: Fm-3m



No. 5
A plane-wave DFT calculation with PBE was carried out for Au6Br after structural relaxation.

a = 6.494 Å, b = 6.494 Å, c = 6.494 Å
α = 109.47°, β = 109.47°, γ = 109.47°
Fractional coordinates of all 7 atoms:
Au: 0.250 0.500 0.750
Au: 0.250 0.750 0.500
Au: 0.500 0.250 0.750
Au: 0.500 0.750 0.250
Au: 0.750 0.250 0.500
Au: 0.750 0.500 0.250
Br: 0.000 0.000 0.000

Results
N(E_F) (states/eV/atom): 0.8528
Total moment (μB/cell): 0.000
Calculated volume (Å³ per atom): 30.1
Uncorrected formation energy (eV per atom): 0.599
Space group: Im-3m



No. 6
A plane-wave DFT calculation with PBE was carried out for AuBr after structural relaxation.

a = 8.012 Å, b = 8.012 Å, c = 8.012 Å
α = 152.12°, β = 152.12°, γ = 39.84°
Fractional coordinates of all 4 atoms:
Au: 0.375 0.625 0.750
Au: 0.625 0.375 0.250
Br: 0.125 0.875 0.250
Br: 0.875 0.125 0.750

Results
N(E_F) (states/eV/atom): 0.6581
Total moment (μB/cell): 0.000
Calculated volume (Å³ per atom): 28.1
Uncorrected formation energy (eV per atom): 0.206
Space group: I4_1/amd



No. 7
A plane-wave DFT calculation with PBE was carried out for AuBr3 after structural relaxation.

a = 12.526 Å, b = 12.526 Å, c = 12.526 Å
α = 15.34°, β = 15.34°, γ = 15.34°
Fractional coordinates of all 4 atoms:
Au: 0.000 0.000 0.000
Br: 0.065 0.065 0.065
Br: 0.500 0.500 0.500
Br: 0.935 0.935 0.935

Results
N(E_F) (states/eV/atom): 1.1475
Total moment (μB/cell): 0.000
Calculated volume (Å³ per atom): 30.0
Uncorrected formation energy (eV per atom): 0.227
Space group: R-3m



No. 8
A plane-wave DFT calculation with PBE was carried out for AuBr3 after structural relaxation.

a = 5.630 Å, b = 12.779 Å, c = 7.643 Å
α = 90.00°, β = 90.00°, γ = 90.00°
Fractional coordinates of all 16 atoms:
Au: 0.131 0.250 0.248
Au: 0.369 0.750 0.748
Au: 0.631 0.250 0.252
Au: 0.869 0.750 0.752
Br: 0.131 0.058 0.250
Br: 0.131 0.442 0.250
Br: 0.199 0.750 0.273
Br: 0.301 0.250 0.773
Br: 0.369 0.558 0.750
Br: 0.369 0.942 0.750
Br: 0.631 0.058 0.250
Br: 0.631 0.442 0.250
Br: 0.699 0.750 0.227
Br: 0.801 0.250 0.727
Br: 0.869 0.558 0.750
Br: 0.869 0.942 0.750

Results
N(E_F) (states/eV/atom): 0.5103
Total moment (μB/cell): 0.000
Calculated volume (Å³ per atom): 34.4
Uncorrected formation energy (eV per atom): 0.018
Space group: Pnma



No. 9
A plane-wave DFT calculation with PBE was carried out for AuBr2 after structural relaxation.

a = 4.078 Å, b = 4.078 Å, c = 5.960 Å
α = 90.00°, β = 90.00°, γ = 120.00°
Fractional coordinates of all 3 atoms:
Au: 0.000 0.000 0.000
Br: 0.333 0.667 0.247
Br: 0.667 0.333 0.753

Results
N(E_F) (states/eV/atom): 1.5599
Total moment (μB/cell): 0.971
Calculated volume (Å³ per atom): 28.6
Uncorrected formation energy (eV per atom): 0.056
Space group: P-3m1



No. 10
A plane-wave DFT calculation with PBE was carried out for AuBr2 after structural relaxation.

a = 6.910 Å, b = 6.910 Å, c = 8.906 Å
α = 107.58°, β = 107.58°, γ = 31.86°
Fractional coordinates of all 6 atoms:
Au: 0.134 0.134 0.254
Au: 0.866 0.866 0.746
Br: 0.233 0.233 0.744
Br: 0.499 0.499 0.748
Br: 0.501 0.501 0.252
Br: 0.767 0.767 0.256

Results
N(E_F) (states/eV/atom): 0.9939
Total moment (μB/cell): 0.000
Calculated volume (Å³ per atom): 35.5
Uncorrected formation energy (eV per atom): -0.095
Space group: C2/m



No. 11
A plane-wave DFT calculation with PBE was carried out for Au5Br3 after structural relaxation.

a = 7.862 Å, b = 7.862 Å, c = 8.962 Å
α = 98.92°, β = 98.92°, γ = 124.93°
Fractional coordinates of all 16 atoms:
Au: 0.000 0.000 0.000
Au: 0.089 0.285 0.820
Au: 0.285 0.089 0.820
Au: 0.398 0.627 0.364
Au: 0.439 0.439 0.081
Au: 0.524 0.723 0.887
Au: 0.627 0.398 0.364
Au: 0.723 0.524 0.887
Au: 0.740 0.930 0.212
Au: 0.930 0.740 0.212
Br: 0.053 0.497 0.180
Br: 0.130 0.130 0.443
Br: 0.320 0.801 0.694
Br: 0.497 0.053 0.180
Br: 0.710 0.710 0.567
Br: 0.801 0.320 0.694

Results
N(E_F) (states/eV/atom): 0.0140
Total moment (μB/cell): 0.000
Calculated volume (Å³ per atom): 26.7
Uncorrected formation energy (eV per atom): 0.040
Space group: Cm
ΔE to the lowest computed polymorph (eV/atom): 0.000



No. 12
A plane-wave DFT calculation with PBE was carried out for AuBr3 after structural relaxation.

a = 2.769 Å, b = 3.988 Å, c = 11.034 Å
α = 90.00°, β = 90.00°, γ = 90.00°
Fractional coordinates of all 4 atoms:
Au: 0.000 0.000 0.000
Br: 0.000 0.000 0.500
Br: 0.500 0.500 0.174
Br: 0.500 0.500 0.826

Results
N(E_F) (states/eV/atom): 0.5596
Total moment (μB/cell): 0.169
Calculated volume (Å³ per atom): 30.5
Uncorrected formation energy (eV per atom): 0.260
Space group: Pmmm